A relaxed Rb3PaCo2O6 crystal, computed with GGA+U.

a b c (Å): 5.7856 5.7856 6.7564
angles (deg): 97.96 97.96 120.41
With the nearest neighbours (Å) after each atom.
Sites, in units of the cell vectors:
Rb (0.0000, 0.0000, 0.0000)  6 O 2.85-2.86
Rb (0.3263, 0.6737, 0.0000)  6 O 2.84-2.88
Rb (0.6737, 0.3263, 0.0000)  6 O 2.84-2.88
Pa (0.5000, 0.5000, 0.5000)  6 O 2.21-2.22
Co (0.1671, 0.8329, 0.5000)  6 O 2.21-2.26
Co (0.8329, 0.1671, 0.5000)  6 O 2.21-2.26
O (0.1103, 0.4396, 0.3272)  2 Co 2.21-2.25, 1 Pa 2.22
O (0.2307, 0.2307, 0.6772)  1 Pa 2.21, 2 Co 2.26
O (0.4396, 0.1103, 0.3272)  2 Co 2.21-2.25, 1 Pa 2.22
O (0.5604, 0.8897, 0.6728)  2 Co 2.21-2.25, 1 Pa 2.22
O (0.7693, 0.7693, 0.3228)  1 Pa 2.21, 2 Co 2.26
O (0.8897, 0.5604, 0.6728)  2 Co 2.21-2.25, 1 Pa 2.22

Calculated values
As for the volume: 187.3 Å³ per cell. For the final energy, the calculation gives -74.4 eV/cell. The space group is C2/m. The total magnetization comes out at 6.1 μB per formula unit. As for the density of states at the Fermi level: 0.000 states/eV per atom.